[1]
HgIrAu: optimized geometry, PBE-GGA.

It has space group P3m1 (No. 156), with a = 2.9505 Å, b = 2.9505 Å, c = 7.0361 Å, α = 90.00°, β = 90.00° and γ = 120.00°. Symmetry generates all atoms from Hg at (0.0000, 0.0000, 0.0000), Ir at (0.3333, 0.6667, 0.3274) and Au at (0.6667, 0.3333, 0.6503).

Its total energy is -3.741 eV per atom. The energy above the most stable polymorph in this dataset comes out at 0.00 kcal/mol of atoms. The value obtained for the density of states at the Fermi level is 2.5 states/eV per cell.

---

[2]
HgIrAu: optimized geometry, PBE-GGA.

It has space group Imm2 (No. 44), with a = 2.939 Å, b = 4.058 Å, c = 8.935 Å, α = 90.00°, β = 90.00° and γ = 90.00°. Symmetry generates all atoms from Hg at (0.000, 0.000, 0.000), Ir at (0.000, 0.000, 0.666) and Au at (0.000, 0.000, 0.324).

Its total energy is -3.648 eV per atom. The energy above the most stable polymorph in this dataset comes out at 2.14 kcal/mol of atoms. The value obtained for the density of states at the Fermi level is 6.1 states/eV per cell.

---

[3]
HgIrAu: optimized geometry, PBE-GGA.

It has space group Fmm2 (No. 42), with a = 2.920 Å, b = 5.006 Å, c = 14.674 Å, α = 90.00°, β = 90.00° and γ = 90.00°. Symmetry generates all atoms from Hg at (0.000, 0.000, 0.000), Ir at (0.000, 0.000, 0.336) and Au at (0.000, 0.000, 0.675).

Its total energy is -3.712 eV per atom. The energy above the most stable polymorph in this dataset comes out at 0.67 kcal/mol of atoms. The value obtained for the density of states at the Fermi level is 11.6 states/eV per cell.

---

[4]
Hg2IrAu: optimized geometry, PBE-GGA.

It has space group Cmm2 (No. 35), with a = 2.891 Å, b = 5.220 Å, c = 10.289 Å, α = 90.00°, β = 90.00° and γ = 90.00°. Symmetry generates all atoms from Hg at (0.000, 0.000, 0.000), Hg at (0.000, 0.500, 0.281), Ir at (0.000, 0.000, 0.517) and Au at (0.000, 0.500, 0.744).

Its total energy is -2.756 eV per atom. The energy above the most stable polymorph in this dataset comes out at 2.43 kcal/mol of atoms. The value obtained for the density of states at the Fermi level is 8.3 states/eV per cell.